! GdMgGe2 (PBE-GGA, relaxed); values from VASP
&SYSTEM
  ibrav = 0, nat = 4, ntyp = 3
/
ATOMIC_SPECIES
Ge 72.64 Ge.upf
Gd 157.25 Gd.upf
Mg 24.30 Mg.upf
ATOMIC_POSITIONS crystal
Ge 0.000 0.000 0.789
Ge 0.000 0.000 0.211
Gd 0.500 0.500 0.500
Mg 0.500 0.500 0.000
CELL_PARAMETERS angstrom
-1.487 0.982 -3.122
-2.129 -2.895 0.104
-4.509 3.432 3.226
! relative energy among the computed polymorphs = 40 kJ/mol of formula units
! total magnetic moment = 7.39 μB/cell
! formation enthalpy at 0 K = -0.387 eV/atom



! SrVMo2 (PBE-GGA, relaxed); values from VASP
&SYSTEM
  ibrav = 0, nat = 8, ntyp = 3
/
ATOMIC_SPECIES
Sr 87.62 Sr.upf
Mo 95.94 Mo.upf
V 50.94 V.upf
ATOMIC_POSITIONS crystal
Sr 0.000 0.000 0.000
Sr 0.750 0.250 0.500
Mo 0.392 0.125 0.250
Mo 0.358 0.625 0.250
Mo 0.375 0.608 0.750
Mo 0.875 0.642 0.750
V 0.500 0.500 0.000
V 0.250 0.750 0.500
CELL_PARAMETERS angstrom
-4.021 -1.993 2.106
0.191 -3.775 -3.208
3.015 -7.179 4.797
! relative energy among the computed polymorphs = 58 kJ/mol of formula units
! total magnetic moment = 0.53 μB/cell
! formation enthalpy at 0 K = 1.259 eV/atom



! Nd6Te3As2S (PBE-GGA, relaxed); values from VASP
&SYSTEM
  ibrav = 0, nat = 12, ntyp = 4
/
ATOMIC_SPECIES
Nd 144.24 Nd.upf
Te 127.60 Te.upf
As 74.92 As.upf
S 32.06 S.upf
ATOMIC_POSITIONS crystal
Nd 0.344 0.903 0.688
Nd 0.673 0.566 0.346
Nd 0.656 0.097 0.312
Nd 0.006 0.224 0.011
Nd 0.994 0.776 0.989
Nd 0.327 0.434 0.654
Te 0.500 0.500 0.000
Te 0.832 0.166 0.664
Te 0.168 0.834 0.336
As 0.834 0.668 0.668
As 0.166 0.332 0.332
S 0.500 0.000 0.000
CELL_PARAMETERS angstrom
-0.503 4.011 -1.476
-8.086 -2.069 -2.863
-0.930 1.151 9.718
! total magnetic moment = 0.00 μB/cell
! formation energy from raw total energies = -19.281 eV/f.u.



! Tb3Nd3Ge4 (PBE-GGA, relaxed); values from VASP
&SYSTEM
  ibrav = 0, nat = 10, ntyp = 3
/
ATOMIC_SPECIES
Tb 158.93 Tb.upf
Nd 144.24 Nd.upf
Ge 72.64 Ge.upf
ATOMIC_POSITIONS crystal
Tb 0.000 0.501 0.001
Tb 0.000 0.999 0.499
Tb 0.500 0.174 0.826
Nd 0.500 0.827 0.173
Nd 0.500 0.324 0.326
Nd 0.500 0.674 0.676
Ge 0.000 0.621 0.379
Ge 0.000 0.373 0.627
Ge 0.000 0.883 0.876
Ge 0.000 0.124 0.117
CELL_PARAMETERS angstrom
4.368 0.000 0.000
0.000 7.719 -0.023
0.000 0.045 7.719
! total magnetic moment = 0.00 μB/cell
! formation enthalpy at 0 K = -0.772 eV/atom



! LiPaZn2 (PBE-GGA, relaxed); values from VASP
&SYSTEM
  ibrav = 0, nat = 4, ntyp = 3
/
ATOMIC_SPECIES
Zn 65.41 Zn.upf
Pa 231.04 Pa.upf
Li 6.94 Li.upf
ATOMIC_POSITIONS crystal
Zn 0.000 0.000 0.796
Zn 0.000 0.000 0.204
Pa 0.500 0.500 0.500
Li 0.500 0.500 0.000
CELL_PARAMETERS angstrom
-1.351 -2.038 1.845
1.177 -2.286 -1.664
6.060 -0.060 4.370
! relative energy among the computed polymorphs = 0 kJ/mol of formula units
! total magnetic moment = 0.09 μB/cell
! formation enthalpy at 0 K = -0.082 eV/atom



! Hf3Be2In2 (PBE-GGA, relaxed); values from VASP
&SYSTEM
  ibrav = 0, nat = 7, ntyp = 3
/
ATOMIC_SPECIES
Hf 178.49 Hf.upf
Be 9.01 Be.upf
In 114.82 In.upf
ATOMIC_POSITIONS crystal
Hf 0.000 0.000 0.000
Hf 0.704 0.204 0.408
Hf 0.296 0.796 0.592
Be 0.557 0.557 0.113
Be 0.443 0.443 0.887
In 0.133 0.633 0.265
In 0.867 0.367 0.735
CELL_PARAMETERS angstrom
-2.407 2.062 -2.656
-1.567 -2.815 -0.766
-4.246 1.972 8.598
! total magnetic moment = 0.00 μB/cell
! formation enthalpy at 0 K = -0.063 eV/atom